Material: ZrAlCuS2
Method: DFT, PBE
State: relaxed

Unit cell a=4.539 b=4.553 c=4.539 alpha=90.00 beta=90.00 gamma=90.00
Each line ends with the local moment (μB).
Sites, in units of the cell vectors:
S  0.000  0.000  0.500  -0.01
S  0.500  0.000  0.000  -0.01
Cu  0.000  0.500  0.000  0.00
Zr  0.500  0.500  0.500  0.42
Al  0.000  0.000  0.000  0.00

## Properties
- Fermi-level density of states (states/eV/cell) = 4.02
- total magnetic moment (μB per cell) = 0.6
- formation energy from raw total energies (meV/atom) = 97